Here is a relaxed structure of KHg2Os from Alexandria via LeMat-Bulk. Energies are from GGA-PBE.

```
data_KHg2Os
_cell_length_a 11.1110
_cell_length_b 11.1110
_cell_length_c 11.1110
_cell_angle_alpha 15.63
_cell_angle_beta 15.63
_cell_angle_gamma 15.63
_symmetry_space_group_name_H-M 'P 1'
_symmetry_Int_Tables_number 1
_symmetry_space_group_name_Hall 'P 1'
loop_
_atom_site_label
_atom_site_fract_x
_atom_site_fract_y
_atom_site_fract_z
Os1 0.7445 0.7445 0.7445
Hg1 0.2531 0.2531 0.2531
Hg2 0.0068 0.0068 0.0068
K1 0.4955 0.4955 0.4955
```

Properties
- Calculated density: 12.1 g/cm3
- D(E_F): 1.34 states/eV per cell
- Energy of formation from the pure elements: 3.21 eV/f.u.
- Space-group type: No. 160
- Magnetic moment: 0.6 μB/cell
- DFT total energy: -2.43 eV per atom